In2TcAs: optimized geometry, PBEsol.

Cell lengths 6.660, 6.660, 6.660 Å; angles 90.00, 90.00, 90.00 degrees
Space group F-43m (No. 216)
Unique sites:
In (0.000, 0.000, 0.000) x4
In (0.250, 0.250, 0.250) x4
Tc (0.000, 0.000, 0.500) x4
As (0.250, 0.250, 0.750) x4

Results
N(E_F)   19.25 states/eV per cell
Electronic total energy   -5.0486 eV/atom
Calculated formation energy   536 meV/atom

K3SrPt: optimized geometry, PBEsol.

Cell lengths 6.221, 6.221, 6.221 Å; angles 90.00, 90.00, 90.00 degrees
Space group Pm-3m (No. 221)
Unique sites:
K (0.000, 0.000, 0.500) x3
Sr (0.500, 0.500, 0.500) x1
Pt (0.000, 0.000, 0.000) x1

Results
N(E_F)   4.49 states/eV per cell
Electronic total energy   -2.1539 eV/atom
Calculated formation energy   287 meV/atom
E above lowest polymorph   0 meV/atom

HgPt2RhI: optimized geometry, PBEsol.

Cell lengths 4.852, 4.852, 5.002 Å; angles 90.00, 90.00, 90.00 degrees
Space group P4/mmm (No. 123)
Unique sites:
Hg (0.000, 0.000, 0.000) x1
Pt (0.000, 0.500, 0.500) x2
Rh (0.500, 0.500, 0.500) x1
I (0.500, 0.500, 0.000) x1

Results
N(E_F)   7.63 states/eV per cell
Electronic total energy   -3.7943 eV/atom
Raw formation energy   1.086 eV/atom

Ba3SrNi: optimized geometry, PBEsol.

Cell lengths 6.146, 6.146, 6.146 Å; angles 90.00, 90.00, 90.00 degrees
Space group Pm-3m (No. 221)
Unique sites:
Ba (0.000, 0.000, 0.500) x3
Sr (0.500, 0.500, 0.500) x1
Ni (0.000, 0.000, 0.000) x1

Results
N(E_F)   4.34 states/eV per cell
Electronic total energy   -2.8349 eV/atom
Calculated formation energy   54 meV/atom

Ba2HfH: optimized geometry, PBEsol.

Cell lengths 7.801, 7.801, 7.772 Å; angles 90.00, 90.00, 90.00 degrees
Space group I-42d (No. 122)
Unique sites:
Ba (0.140, 0.250, 0.125) x8
Hf (0.000, 0.000, 0.500) x4
H (0.000, 0.000, 0.000) x4

Results
N(E_F)   20.77 states/eV per cell
Electronic total energy   -3.9488 eV/atom

SmYCo10: optimized geometry, PBEsol.

Cell lengths 3.891, 4.853, 8.401 Å; angles 90.00, 90.00, 90.00 degrees
Space group Pmmm (No. 47)
Unique sites:
Sm (0.000, 0.000, 0.000) x1
Y (0.000, 0.500, 0.500) x1
Co (0.000, 0.000, 0.335) x2
Co (0.000, 0.500, 0.168) x2
Co (0.500, 0.000, 0.500) x1
Co (0.500, 0.252, 0.253) x4
Co (0.500, 0.500, 0.000) x1

Results
N(E_F)   18.47 states/eV per cell
Electronic total energy   -7.5097 eV/atom
Calculated formation energy   -69 meV/atom

GeBiCl3: optimized geometry, PBEsol.

Cell lengths 5.412, 5.412, 5.412 Å; angles 90.00, 90.00, 90.00 degrees
Space group Pm-3m (No. 221)
Unique sites:
Ge (0.000, 0.000, 0.000) x1
Bi (0.500, 0.500, 0.500) x1
Cl (0.000, 0.500, 0.500) x3

Results
N(E_F)   5.91 states/eV per cell
Electronic total energy   -3.0669 eV/atom
Raw formation energy   -0.017 eV/atom

CoCuPt: optimized geometry, PBEsol.

Cell lengths 2.651, 3.617, 7.762 Å; angles 90.00, 90.00, 90.00 degrees
Space group Imm2 (No. 44)
Unique sites:
Co (0.000, 0.000, 0.000) x2
Cu (0.000, 0.000, 0.663) x2
Pt (0.000, 0.000, 0.334) x2

Results
N(E_F)   6.01 states/eV per cell
Electronic total energy   -6.3620 eV/atom
Calculated formation energy   -17 meV/atom

PmNdZn2: optimized geometry, PBEsol.

Cell lengths 7.198, 7.198, 7.198 Å; angles 90.00, 90.00, 90.00 degrees
Space group Fm-3m (No. 225)
Unique sites:
Pm (0.000, 0.000, 0.000) x4
Nd (0.000, 0.000, 0.500) x4
Zn (0.250, 0.250, 0.250) x8

Results
N(E_F)   15.63 states/eV per cell
Electronic total energy   -3.6722 eV/atom
Calculated formation energy   -305 meV/atom

CsLaP4O12: optimized geometry, PBEsol.

Cell lengths 7.235, 9.308, 8.864 Å; angles 90.00, 99.22, 90.00 degrees
Space group P2_1 (No. 4)
Unique sites:
Cs (0.175, 0.000, 0.178) x2
La (0.298, 0.166, 0.698) x2
P (0.145, 0.541, 0.544) x2
P (0.194, 0.594, 0.227) x2
P (0.416, 0.392, 0.071) x2
P (0.439, 0.775, 0.626) x2
O (0.007, 0.137, 0.816) x2
O (0.041, 0.113, 0.490) x2
O (0.159, 0.404, 0.634) x2
O (0.227, 0.465, 0.114) x2
O (0.227, 0.511, 0.389) x2
O (0.288, 0.652, 0.641) x2
O (0.345, 0.705, 0.230) x2
O (0.348, 0.918, 0.595) x2
O (0.357, 0.320, 0.922) x2
O (0.425, 0.220, 0.470) x2
O (0.425, 0.997, 0.910) x2
O (0.454, 0.267, 0.198) x2

Results
N(E_F)   0.00 states/eV per cell
Electronic total energy   -7.6263 eV/atom
Raw formation energy   -2.490 eV/atom

AlCoCl2: optimized geometry, PBEsol.

Cell lengths 6.396, 2.949, 8.594 Å; angles 90.00, 110.63, 90.00 degrees
Space group Cm (No. 8)
Unique sites:
Al (0.000, 0.000, 0.000) x2
Co (0.130, 0.500, 0.814) x2
Cl (0.077, 0.500, 0.219) x2
Cl (0.080, 0.000, 0.626) x2

Results
N(E_F)   1.12 states/eV per cell
Electronic total energy   -4.4369 eV/atom
Raw formation energy   -0.476 eV/atom

CdIr2W: optimized geometry, PBEsol.

Cell lengths 2.839, 2.839, 7.718 Å; angles 90.00, 90.00, 90.00 degrees
Space group P4/mmm (No. 123)
Unique sites:
Cd (0.000, 0.000, 0.000) x1
Ir (0.500, 0.500, 0.270) x2
W (0.000, 0.000, 0.500) x1

Results
N(E_F)   1.86 states/eV per cell
Electronic total energy   -8.8175 eV/atom
Calculated formation energy   -155 meV/atom

HfScI2N: optimized geometry, PBEsol.

Cell lengths 5.712, 5.712, 3.943 Å; angles 90.00, 90.00, 90.00 degrees
Space group P4/mmm (No. 123)
Unique sites:
Hf (0.000, 0.000, 0.000) x1
Sc (0.500, 0.500, 0.500) x1
I (0.000, 0.500, 0.000) x2
N (0.000, 0.000, 0.500) x1

Results
N(E_F)   5.61 states/eV per cell
Electronic total energy   -6.0136 eV/atom
Raw formation energy   -0.180 eV/atom